CaCu2Mo: relaxed, PBE.

- Polymorph energy (0 for the lowest one): 0.060 eV/atom
- Space-group type: P4/mmm
- Magnetic moment: 1.00 μB per formula unit
- Total energy: -4.863 eV per atom
- D(E_F): 3.8 states/eV per cell
- Formation energy from the elements: 394 meV/atom

Cell lengths 4.8084, 4.8079, 2.8621 Å; angles 90.00, 90.00, 90.00 degrees
Last column: nearest neighbours and their distance in Å.
Element x y z (fractional)
Mo  0.5000  0.0000  0.5000  8 Cu 2.80, 2 Mo 2.86
Ca  0.0000  0.5000  0.5000  8 Cu 2.80, 2 Ca 2.86
Cu  0.0000  0.0000  0.0000  4 Ca 2.80, 4 Mo 2.80, 2 Cu 2.86
Cu  0.5000  0.5000  0.0000  4 Mo 2.80, 4 Ca 2.80, 2 Cu 2.86

=====

Ca3CuMo: relaxed, PBE.

- Polymorph energy (0 for the lowest one): 0.240 eV/atom
- Space-group type: Pm-3m
- Magnetic moment: 0.00 μB per formula unit
- Total energy: -3.186 eV per atom
- D(E_F): 3.2 states/eV per cell
- Formation energy from the elements: 1000 meV/atom

Cell lengths 5.4193, 5.4193, 5.4193 Å; angles 90.00, 90.00, 90.00 degrees
Last column: nearest neighbours and their distance in Å.
Element x y z (fractional)
Mo  0.0000  0.0000  0.0000  6 Ca 2.71
Ca  0.0000  0.5000  0.0000  2 Mo 2.71
Ca  0.0000  0.0000  0.5000  2 Mo 2.71
Ca  0.5000  0.0000  0.0000  2 Mo 2.71
Cu  0.5000  0.5000  0.5000  12 Ca 3.83

=====

Ca2CuMo: relaxed, PBE.

- Polymorph energy (0 for the lowest one): 0.281 eV/atom
- Space-group type: F-43m
- Magnetic moment: 2.81 μB per formula unit
- Total energy: -3.986 eV per atom
- D(E_F): 2.7 states/eV per cell
- Formation energy from the elements: 747 meV/atom

Cell lengths 5.0207, 5.0207, 5.0207 Å; angles 60.00, 60.00, 60.00 degrees
Last column: nearest neighbours and their distance in Å.
Element x y z (fractional)
Mo  0.7500  0.7500  0.7500  4 Cu 3.07, 4 Ca 3.07
Ca  0.0000  0.0000  0.0000  4 Mo 3.07, 4 Ca 3.07
Ca  0.2500  0.2500  0.2500  4 Ca 3.07, 4 Cu 3.07
Cu  0.5000  0.5000  0.5000  4 Ca 3.07, 4 Mo 3.07

=====

Ca2CuMo: relaxed, PBE.

- Polymorph energy (0 for the lowest one): 0.075 eV/atom
- Space-group type: Amm2
- Magnetic moment: 1.91 μB per formula unit
- Total energy: -4.192 eV per atom
- D(E_F): 3.7 states/eV per cell
- Formation energy from the elements: 541 meV/atom

Cell lengths 4.3097, 4.1285, 6.0053 Å; angles 69.87, 90.00, 90.00 degrees
Last column: nearest neighbours and their distance in Å.
Element x y z (fractional)
Mo  0.5000  0.5705  0.7332  2 Cu 2.49
Ca  0.0000  0.9742  0.9261  3 Cu 3.11-3.30, 4 Mo 3.18
Ca  0.5000  0.2732  0.3287  3 Mo 3.08-3.36, 4 Cu 3.16
Cu  0.0000  0.6820  0.5120  2 Mo 2.49

=====

Which value of D(E_F) does entry 1 give? 3.8 states/eV per cell